A relaxed structure of PaAlCoC, computed with GGA-PBE.

size of the total moment	0.000	μB/atom
uncorrected energy	-62.3	eV for the cell shown
energy relative to the elements	-1.57	eV per formula unit

a = 3.6700 Å, b = 3.6700 Å, c = 8.9494 Å
α = 90.00°, β = 90.00°, γ = 90.00°
Last column: nearest neighbours and their distance in Å.
Element x y z (fractional)
Al: 0.0000 0.0000 0.5000  4 Co 2.45, 4 Al 2.60
Pa: 0.5000 0.0000 0.1475  1 C 2.31
Pa: 0.0000 0.5000 0.8525  1 C 2.31
Co: 0.0000 0.5000 0.3193  1 C 1.87
Co: 0.5000 0.0000 0.6807  1 C 1.87
Al: 0.5000 0.5000 0.5000  4 Co 2.45, 4 Al 2.60
C: 0.5000 0.0000 0.8895  1 Co 1.87
C: 0.0000 0.5000 0.1105  1 Co 1.87


A relaxed structure of TiHgSbI2, computed with GGA-PBE.

E_form (uncorrected)	-0.4	eV per formula unit
size of the total moment	0.075	μB/atom
uncorrected energy	-15.8	eV for the cell shown

a = 5.5253 Å, b = 5.5253 Å, c = 5.4863 Å
α = 90.00°, β = 90.00°, γ = 90.00°
Last column: nearest neighbours and their distance in Å.
Element x y z (fractional)
I: 0.5000 0.0000 0.0000  2 Ti 2.76
Sb: 0.0000 0.0000 0.5000  2 Ti 2.74
Ti: 0.0000 0.0000 0.0000  2 Sb 2.74, 4 I 2.76
Hg: 0.5000 0.5000 0.5000  8 I 3.89, 4 Sb 3.91
I: 0.0000 0.5000 0.0000  2 Ti 2.76


A relaxed structure of Tc2RuPt, computed with GGA-PBE.

size of the total moment	0.173	μB/atom
uncorrected energy	-34.3	eV for the cell shown
energy relative to the elements	1.71	eV per formula unit

a = 4.3980 Å, b = 4.3980 Å, c = 4.3980 Å
α = 60.00°, β = 60.00°, γ = 60.00°
Last column: nearest neighbours and their distance in Å.
Element x y z (fractional)
Tc: 0.2500 0.2500 0.2500  4 Ru 2.69, 4 Pt 2.69
Tc: 0.7500 0.7500 0.7500  4 Ru 2.69, 4 Pt 2.69
Ru: 0.0000 0.0000 0.0000  8 Tc 2.69
Pt: 0.5000 0.5000 0.5000  8 Tc 2.69


A relaxed structure of In2PAu, computed with GGA-PBE.

size of the total moment	0.000	μB/atom
uncorrected energy	-14.5	eV for the cell shown
energy relative to the elements	-0.29	eV per formula unit

a = 3.9130 Å, b = 3.9130 Å, c = 7.0960 Å
α = 74.12°, β = 74.12°, γ = 60.05°
Last column: nearest neighbours and their distance in Å.
Element x y z (fractional)
In: 0.0057 0.0057 0.9824  3 P 2.74-2.75, 3 Au 2.89
In: 0.4943 0.4943 0.5176  3 P 2.74-2.75, 3 Au 2.89
P: 0.7500 0.7500 0.7500  6 In 2.74-2.75
Au: 0.2500 0.2500 0.2500  6 In 2.89


A relaxed structure of CaOs2O8, computed with GGA-PBE.

E_form (uncorrected)	-14.8	eV per formula unit
size of the total moment	0.149	μB/atom
uncorrected energy	-78.9	eV for the cell shown

a = 6.8933 Å, b = 6.8933 Å, c = 6.8954 Å
α = 119.99°, β = 119.99°, γ = 90.00°
Last column: nearest neighbours and their distance in Å.
Element x y z (fractional)
O: 0.6458 0.3543 0.2917  1 Os 1.76
O: 0.3542 0.0626 0.7083  1 Os 1.76
O: 0.6457 0.3542 0.7083  1 Os 1.76
O: 0.0626 0.3541 0.7083  1 Os 1.76
Os: 0.7500 0.2500 0.5000  4 O 1.76
O: 0.9374 0.6458 0.2917  1 Os 1.76
O: 0.3543 0.6459 0.2917  1 Os 1.76
Os: 0.2500 0.7500 0.5000  4 O 1.76
Ca: 0.5000 0.5000 0.0000  8 O 2.46
O: 0.3541 0.6457 0.7083  1 Os 1.76
O: 0.6459 0.9374 0.2917  1 Os 1.76


A relaxed structure of GdTlGa, computed with GGA-PBE.

size of the total moment	2.369	μB/atom
uncorrected energy	-20.6	eV for the cell shown
energy relative to the elements	-1.09	eV per formula unit

a = 3.9863 Å, b = 4.6523 Å, c = 4.6523 Å
α = 120.00°, β = 90.00°, γ = 90.00°
Last column: nearest neighbours and their distance in Å.
Element x y z (fractional)
Gd: 0.6867 0.6667 0.3333  3 Ga 3.05, 3 Tl 3.17
Tl: 0.2621 0.3333 0.6667  3 Ga 2.81
Ga: 0.0512 0.0000 0.0000  3 Tl 2.81, 3 Gd 3.05


A relaxed structure of LaYOs, computed with GGA-PBE.

size of the total moment	0.000	μB/atom
uncorrected energy	-20.7	eV for the cell shown
energy relative to the elements	1.95	eV per formula unit

a = 4.7925 Å, b = 4.7925 Å, c = 4.7925 Å
α = 60.00°, β = 60.00°, γ = 60.00°
Last column: nearest neighbours and their distance in Å.
Element x y z (fractional)
La: 0.0000 0.0000 0.0000  4 Y 2.93
Os: 0.5000 0.5000 0.5000  4 Y 2.93
Y: 0.7500 0.7500 0.7500  4 La 2.93, 4 Os 2.93


A relaxed structure of YGaCu2Ni, computed with GGA-PBE.

size of the total moment	0.000	μB/atom
uncorrected energy	-25.1	eV for the cell shown
energy relative to the elements	-1.64	eV per formula unit

a = 3.7062 Å, b = 3.9773 Å, c = 6.1491 Å
α = 108.87°, β = 107.54°, γ = 90.00°
Last column: nearest neighbours and their distance in Å.
Element x y z (fractional)
Y: 0.4362 0.4362 0.8724  4 Ni 2.94, 6 Cu 3.00-3.19
Ga: 0.1910 0.6910 0.3820  2 Ni 2.43, 6 Cu 2.52-2.72
Ni: 0.8338 0.8338 0.6676  3 Cu 2.39-2.47, 2 Ga 2.43
Cu: 0.0509 0.0509 0.1017  1 Ni 2.39, 2 Cu 2.48, 2 Ga 2.52
Cu: 0.7003 0.2003 0.4006  2 Ni 2.47, 2 Cu 2.48, 4 Ga 2.72


A relaxed structure of Eu2MgPb, computed with GGA-PBE.

size of the total moment	3.783	μB/atom
uncorrected energy	-26.5	eV for the cell shown
energy relative to the elements	-0.67	eV per formula unit

a = 3.8042 Å, b = 3.8042 Å, c = 11.0595 Å
α = 80.10°, β = 80.10°, γ = 60.00°
Last column: nearest neighbours and their distance in Å.
Element x y z (fractional)
Eu: 0.7471 0.7471 0.7586  3 Pb 3.42, 3 Mg 3.56, 6 Eu 3.80
Pb: 0.0000 0.0000 0.0000  6 Eu 3.42, 6 Pb 3.80
Eu: 0.2529 0.2529 0.2414  3 Pb 3.42, 3 Mg 3.56, 6 Eu 3.80
Mg: 0.5000 0.5000 0.5000  6 Eu 3.56, 6 Mg 3.80


A relaxed structure of CaNpPdS3, computed with GGA-PBE.

E_form (uncorrected)	-8.0	eV per formula unit
size of the total moment	0.573	μB/atom
uncorrected energy	-81.0	eV for the cell shown

a = 3.9196 Å, b = 7.9797 Å, c = 8.6086 Å
α = 103.97°, β = 90.00°, γ = 90.00°
Last column: nearest neighbours and their distance in Å.
Element x y z (fractional)
S: 0.2500 0.5704 0.8462  3 Np 2.74-2.77, 2 Ca 2.90
S: 0.7500 0.4296 0.1538  3 Np 2.74-2.77, 2 Ca 2.90
S: 0.2500 0.7312 0.4889  2 Pd 2.37, 1 Np 2.65
Np: 0.7500 0.3210 0.8266  6 S 2.65-2.77
Pd: 0.2500 0.1171 0.5523  2 S 2.37
Pd: 0.7500 0.8829 0.4477  2 S 2.37
Ca: 0.2500 0.1897 0.2245  7 S 2.90-3.09, 1 Pd 3.01
Np: 0.2500 0.6790 0.1734  6 S 2.65-2.77
S: 0.7500 0.9076 0.1430  1 Pd 2.68, 2 Np 2.73, 2 Ca 2.94
S: 0.7500 0.2688 0.5111  2 Pd 2.37, 1 Np 2.65
Ca: 0.7500 0.8103 0.7755  7 S 2.90-3.09, 1 Pd 3.01
S: 0.2500 0.0924 0.8570  1 Pd 2.68, 2 Np 2.73, 2 Ca 2.94


A relaxed structure of SrEuIr, computed with GGA-PBE.

size of the total moment	2.384	μB/atom
uncorrected energy	-21.4	eV for the cell shown
energy relative to the elements	-0.55	eV per formula unit

a = 5.0478 Å, b = 5.0478 Å, c = 5.0478 Å
α = 60.00°, β = 60.00°, γ = 60.00°
Last column: nearest neighbours and their distance in Å.
Element x y z (fractional)
Ir: 0.2500 0.2500 0.2500  4 Eu 3.09, 4 Sr 3.09
Sr: 0.0000 0.0000 0.0000  4 Ir 3.09
Eu: 0.5000 0.5000 0.5000  4 Ir 3.09


A relaxed structure of Tb3Co4Ni2, computed with GGA-PBE.

size of the total moment	0.199	μB/atom
uncorrected energy	-111.9	eV for the cell shown
energy relative to the elements	-2.07	eV per formula unit

a = 3.9014 Å, b = 3.9014 Å, c = 23.6442 Å
α = 90.00°, β = 90.00°, γ = 120.00°
Last column: nearest neighbours and their distance in Å.
Element x y z (fractional)
Ni: 0.0000 0.0000 0.1670  3 Ni 2.25
Co: 0.0000 0.0000 0.6666  3 Co 2.25
Co: 0.6667 0.3333 0.6666  3 Co 2.25
Tb: 0.3333 0.6667 0.2503  6 Co 2.98, 6 Ni 2.99
Co: 0.6667 0.3333 0.3328  3 Co 2.25
Co: 0.6667 0.3333 0.8335  3 Ni 2.25
Tb: 0.3333 0.6667 0.0833  6 Co 2.98, 6 Ni 3.00
Ni: 0.0000 0.0000 0.8333  3 Co 2.25
Co: 0.6667 0.3333 0.4997  3 Ni 2.25
Ni: 0.6667 0.3333 0.1670  3 Ni 2.25
Tb: 0.3333 0.6667 0.7516  3 Ni 2.97, 9 Co 2.97-3.02
Ni: 0.0000 0.0000 0.4998  3 Co 2.25
Co: 0.0000 0.0000 0.3327  3 Co 2.25
Tb: 0.3333 0.6667 0.4182  9 Co 2.96-3.03, 3 Ni 2.97
Co: 0.0000 0.0000 0.0007  3 Co 2.25
Tb: 0.3333 0.6667 0.9150  9 Co 2.97-3.03, 3 Ni 2.97
Co: 0.6667 0.3333 0.0006  3 Co 2.25
Tb: 0.3333 0.6667 0.5815  3 Ni 2.97, 9 Co 2.97-3.02


A relaxed structure of ScPbSe, computed with GGA-PBE.

E_form (uncorrected)	0.3	eV per formula unit
size of the total moment	0.070	μB/atom
uncorrected energy	-13.2	eV for the cell shown

a = 5.0102 Å, b = 5.0102 Å, c = 5.0102 Å
α = 60.00°, β = 60.00°, γ = 60.00°
Last column: nearest neighbours and their distance in Å.
Element x y z (fractional)
Pb: 0.7500 0.7500 0.7500  4 Se 3.07, 4 Sc 3.07
Se: 0.5000 0.5000 0.5000  4 Pb 3.07
Sc: 0.0000 0.0000 0.0000  4 Pb 3.07